Entry one
Compound: VGeW
Source: Alexandria via LeMat-Bulk
Functional: PBE-GGA
Structure: optimized geometry

Cell lengths 5.1760, 8.0043, 4.8594 Å; angles 90.00, 117.54, 90.00 degrees
With the nearest neighbours (Å) after each atom.
Fractional coordinates of all 12 atoms:
Ge (0.7500, 0.6283, 0.7500)  5 V 2.69-2.75, 5 W 2.70-2.76
Ge (0.2500, 0.3717, 0.2500)  5 V 2.69-2.75, 5 W 2.70-2.76
Ge (0.7500, 0.1283, 0.2500)  5 V 2.69-2.75, 5 W 2.70-2.76
Ge (0.2500, 0.8717, 0.7500)  5 V 2.69-2.75, 5 W 2.70-2.76
W (0.7500, 0.9661, 0.7500)  3 V 2.58-2.82, 2 W 2.66, 5 Ge 2.70-2.76
W (0.2500, 0.0339, 0.2500)  3 V 2.58-2.82, 2 W 2.66, 5 Ge 2.70-2.76
W (0.7500, 0.4661, 0.2500)  3 V 2.58-2.82, 2 W 2.66, 5 Ge 2.70-2.76
W (0.2500, 0.5339, 0.7500)  3 V 2.58-2.82, 2 W 2.66, 5 Ge 2.70-2.76
V (0.7500, 0.2880, 0.7500)  3 W 2.58-2.82, 2 V 2.66, 5 Ge 2.69-2.75
V (0.2500, 0.7120, 0.2500)  3 W 2.58-2.82, 2 V 2.66, 5 Ge 2.69-2.75
V (0.7500, 0.7880, 0.2500)  3 W 2.58-2.82, 2 V 2.66, 5 Ge 2.69-2.75
V (0.2500, 0.2120, 0.7500)  3 W 2.58-2.82, 2 V 2.66, 5 Ge 2.69-2.75

Calculated volume, Å³/f.u.: 44.6
ρ, g/cm3: 11.438
Total magnetic moment, μB/atom: 0.000
Fermi-level density of states, states/eV/atom: 0.629
Crystal system: monoclinic


Entry two
Compound: VGeW
Source: Alexandria via LeMat-Bulk
Functional: PBE-GGA
Structure: optimized geometry

Cell lengths 2.7334, 5.1966, 6.5833 Å; angles 86.38, 83.62, 83.11 degrees
With the nearest neighbours (Å) after each atom.
Fractional coordinates of all 6 atoms:
Ge (0.8534, 0.0212, 0.6326)  2 V 2.57-2.64, 2 W 2.66-2.76, 4 Ge 2.73-2.84
Ge (0.3264, 0.5240, 0.6658)  2 V 2.57-2.64, 2 W 2.66-2.77, 4 Ge 2.73-2.84
W (0.9319, 0.6451, 0.3164)  3 W 2.64-2.73, 3 Ge 2.66-2.92, 3 V 2.67-2.85
W (0.2467, 0.9117, 0.9833)  3 W 2.64-2.73, 2 Ge 2.66-2.76, 3 V 2.68-2.85
V (0.7430, 0.3977, 0.9948)  3 V 2.45-2.73, 2 Ge 2.57-2.64, 2 W 2.67-2.73
V (0.4351, 0.1591, 0.3056)  3 V 2.45-2.73, 2 Ge 2.57-2.64, 2 W 2.68-2.73

Calculated volume, Å³/f.u.: 46.1
ρ, g/cm3: 11.080
Total magnetic moment, μB/atom: 0.000
Fermi-level density of states, states/eV/atom: 0.637
Crystal system: triclinic


The relative energies come out as entry one 0; entry two 108, with values in meV/atom.


Entry one
Compound: VGeW
Source: Alexandria via LeMat-Bulk
Functional: PBE-GGA
Structure: optimized geometry

Cell lengths 2.7831, 5.3575, 6.7260 Å; angles 107.87, 100.04, 97.01 degrees
With the nearest neighbours (Å) after each atom.
Fractional coordinates of all 6 atoms:
Ge (0.1431, 0.6257, 0.3024)  4 V 2.62-2.75, 4 W 2.67-2.87, 2 Ge 2.78
Ge (0.8569, 0.3743, 0.6976)  4 V 2.62-2.75, 4 W 2.67-2.87, 2 Ge 2.78
W (0.3804, 0.2303, 0.0030)  2 V 2.62-2.66, 4 W 2.62-2.90, 4 Ge 2.67-2.87
W (0.6196, 0.7697, 0.9970)  2 V 2.62-2.66, 4 W 2.62-2.90, 4 Ge 2.67-2.87
V (0.8290, 0.8677, 0.6545)  2 W 2.62-2.66, 4 Ge 2.62-2.75, 2 V 2.78
V (0.1710, 0.1323, 0.3455)  2 W 2.62-2.66, 4 Ge 2.62-2.75, 2 V 2.78

Calculated volume, Å³/f.u.: 46.2
ρ, g/cm3: 11.058
Total magnetic moment, μB/atom: 0.000
Fermi-level density of states, states/eV/atom: 0.590
Crystal system: triclinic


Entry two
Compound: VGeW
Source: Alexandria via LeMat-Bulk
Functional: PBE-GGA
Structure: optimized geometry

Cell lengths 3.2539, 3.2519, 8.9655 Å; angles 90.00, 111.19, 90.00 degrees
With the nearest neighbours (Å) after each atom.
Fractional coordinates of all 6 atoms:
Ge (0.7772, 0.0000, 0.5460)  5 V 2.68-2.78, 5 W 2.70-2.74
Ge (0.7772, 0.5000, 0.0460)  5 V 2.68-2.78, 5 W 2.70-2.74
W (0.1125, 0.0000, 0.8736)  5 V 2.63-2.84, 5 Ge 2.70-2.74
W (0.1125, 0.5000, 0.3736)  5 V 2.63-2.84, 5 Ge 2.70-2.74
V (0.4354, 0.0000, 0.2132)  5 W 2.63-2.84, 5 Ge 2.68-2.78
V (0.4354, 0.5000, 0.7132)  5 W 2.63-2.84, 5 Ge 2.68-2.78

Calculated volume, Å³/f.u.: 44.2
ρ, g/cm3: 11.542
Total magnetic moment, μB/atom: 0.000
Fermi-level density of states, states/eV/atom: 0.859
Crystal system: monoclinic


Entry three
Compound: VGeW
Source: Alexandria via LeMat-Bulk
Functional: PBE-GGA
Structure: optimized geometry

Cell lengths 6.6156, 3.1232, 4.7136 Å; angles 90.00, 110.86, 90.00 degrees
With the nearest neighbours (Å) after each atom.
Fractional coordinates of all 6 atoms:
Ge (0.0826, 0.0000, 0.7819)  3 V 2.62-2.63, 3 W 2.72-2.74, 4 Ge 2.83
Ge (0.0826, 0.5000, 0.2819)  3 V 2.62-2.63, 3 W 2.72-2.74, 4 Ge 2.83
W (0.4288, 0.0000, 0.5993)  2 V 2.57, 3 Ge 2.72-2.74, 4 W 2.83
W (0.4288, 0.5000, 0.0993)  2 V 2.57, 3 Ge 2.72-2.74, 4 W 2.83
V (0.7590, 0.0000, 0.2589)  2 W 2.57, 3 Ge 2.62-2.63, 4 V 2.83
V (0.7590, 0.5000, 0.7589)  2 W 2.57, 3 Ge 2.62-2.63, 4 V 2.83

Calculated volume, Å³/f.u.: 45.5
ρ, g/cm3: 11.219
Total magnetic moment, μB/atom: 0.000
Fermi-level density of states, states/eV/atom: 0.471
Crystal system: monoclinic


Entry four
Compound: VGeW
Source: Alexandria via LeMat-Bulk
Functional: PBE-GGA
Structure: optimized geometry

Cell lengths 2.8272, 5.0941, 6.5617 Å; angles 83.44, 90.61, 80.61 degrees
With the nearest neighbours (Å) after each atom.
Fractional coordinates of all 6 atoms:
V (0.0739, 0.8501, 0.9861)  3 V 2.56-2.83, 3 W 2.56-2.71, 2 Ge 2.63-2.68
V (0.3463, 0.0600, 0.2944)  3 V 2.56-2.83, 3 W 2.56-2.71, 2 Ge 2.63-2.68
Ge (0.0220, 0.2021, 0.6467)  4 Ge 2.58-2.87, 2 V 2.63-2.68, 3 W 2.64-2.88
Ge (0.3969, 0.7077, 0.6337)  4 Ge 2.58-2.87, 2 V 2.63-2.68, 3 W 2.64-2.87
W (0.5673, 0.3497, 0.9756)  3 V 2.56-2.71, 2 Ge 2.64-2.71, 3 W 2.69-2.83
W (0.8527, 0.5604, 0.3048)  3 V 2.56-2.71, 2 Ge 2.64-2.71, 3 W 2.69-2.83

Calculated volume, Å³/f.u.: 46.3
ρ, g/cm3: 11.028
Total magnetic moment, μB/atom: 0.000
Fermi-level density of states, states/eV/atom: 0.741
Crystal system: triclinic


The relative energies come out as entry one 73; entry two 0; entry three 17; entry four 100, with values in meV/atom.


Entry one
Compound: VGeW
Source: Alexandria via LeMat-Bulk
Functional: PBE-GGA
Structure: optimized geometry

Cell lengths 4.7098, 2.6847, 7.2907 Å; angles 90.00, 90.00, 90.00 degrees
With the nearest neighbours (Å) after each atom.
Fractional coordinates of all 6 atoms:
Ge (0.5000, 0.0000, 0.7325)  4 V 2.60-2.65, 2 Ge 2.68, 4 W 2.75-2.83
Ge (0.0000, 0.5000, 0.2675)  4 V 2.60-2.65, 2 Ge 2.68, 4 W 2.75-2.83
V (0.0000, 0.0000, 0.5804)  1 W 2.52, 4 Ge 2.60-2.65, 2 V 2.68
V (0.5000, 0.5000, 0.4196)  1 W 2.52, 4 Ge 2.60-2.65, 2 V 2.68
W (0.5000, 0.5000, 0.0740)  1 V 2.52, 2 W 2.68, 2 Ge 2.75
W (0.0000, 0.0000, 0.9260)  1 V 2.52, 2 W 2.68, 2 Ge 2.75

Calculated volume, Å³/f.u.: 46.1
ρ, g/cm3: 11.075
Total magnetic moment, μB/atom: 0.000
Fermi-level density of states, states/eV/atom: 0.593
Crystal system: orthorhombic


Entry two
Compound: VGeW
Source: Alexandria via LeMat-Bulk
Functional: PBE-GGA
Structure: optimized geometry

Cell lengths 2.8243, 5.2434, 6.3954 Å; angles 77.01, 81.88, 82.28 degrees
With the nearest neighbours (Å) after each atom.
Fractional coordinates of all 6 atoms:
Ge (0.3393, 0.2692, 0.6479)  4 V 2.65-2.68, 2 W 2.68-2.69, 4 Ge 2.70-2.91
Ge (0.8254, 0.7880, 0.6514)  2 V 2.64-2.66, 4 W 2.68-2.69, 4 Ge 2.70-2.91
W (0.4598, 0.6824, 0.3177)  3 V 2.58-2.83, 3 W 2.64-2.82, 3 Ge 2.68-2.69
W (0.2869, 0.5096, 0.9817)  3 V 2.57-2.83, 3 W 2.64-2.82, 3 Ge 2.68-2.69
V (0.7949, 0.0151, 0.9856)  3 V 2.56-2.82, 3 W 2.58-2.83, 3 Ge 2.66-2.67
V (0.9601, 0.1782, 0.3141)  3 V 2.56-2.82, 3 W 2.57-2.83, 3 Ge 2.64-2.68

Calculated volume, Å³/f.u.: 45.4
ρ, g/cm3: 11.239
Total magnetic moment, μB/atom: 0.000
Fermi-level density of states, states/eV/atom: 0.575
Crystal system: triclinic


Entry three
Compound: VGeW
Source: Alexandria via LeMat-Bulk
Functional: PBE-GGA
Structure: optimized geometry

Cell lengths 2.7222, 4.3507, 4.3507 Å; angles 120.00, 90.00, 90.00 degrees
With the nearest neighbours (Å) after each atom.
Fractional coordinates of all 3 atoms:
Ge (0.3600, 0.6667, 0.3333)  3 V 2.64, 3 W 2.71, 2 Ge 2.72
W (0.9817, 0.0000, 0.0000)  3 V 2.66, 3 Ge 2.71, 2 W 2.72
V (0.6583, 0.3333, 0.6667)  3 Ge 2.64, 3 W 2.66, 2 V 2.72

Calculated volume, Å³/f.u.: 44.6
ρ, g/cm3: 11.439
Total magnetic moment, μB/atom: 0.000
Fermi-level density of states, states/eV/atom: 0.696
Crystal system: trigonal


The relative energies come out as entry one 155; entry two 0; entry three 120, with values in meV/atom.